[1]
Li4CrO5 after structural relaxation. Source: the Alexandria database, functional GGA-PBEsol.

M_tot = 0.00 μB/atom
formation energy without anion corrections = -1.9591 eV/atom
energy above the lowest structure with this stoichiometry = 0.0 kJ/mol of formula units

Cell lengths 5.153, 5.153, 7.715 Å; angles 83.44, 83.44, 67.64 degrees
Sites, in units of the cell vectors:
1 Li 0.034 0.363 0.352
2 Li 0.363 0.034 0.852
3 Li 0.563 0.222 0.445
4 Li 0.222 0.563 0.945
5 Li 0.778 0.437 0.055
6 Li 0.437 0.778 0.555
7 Li 0.637 0.966 0.148
8 Li 0.966 0.637 0.648
9 Cr 0.170 0.830 0.250
10 Cr 0.830 0.170 0.750
11 O 0.353 0.015 0.341
12 O 0.015 0.353 0.841
13 O 0.232 0.591 0.429
14 O 0.591 0.232 0.929
15 O 0.870 0.130 0.250
16 O 0.130 0.870 0.750
17 O 0.409 0.768 0.071
18 O 0.768 0.409 0.571
19 O 0.985 0.647 0.159
20 O 0.647 0.985 0.659

---

[2]
Li4CrO4 after structural relaxation. Source: the Alexandria database, functional GGA-PBEsol.

M_tot = 0.22 μB/atom
formation energy without anion corrections = -1.9632 eV/atom
energy above the lowest structure with this stoichiometry = 5.1 kJ/mol of formula units

Cell lengths 5.343, 5.343, 6.043 Å; angles 90.00, 90.00, 93.87 degrees
Site moments in Bohr magnetons follow the coordinates.
Sites, in units of the cell vectors:
1 Li 0.840 0.160 0.000  0.01
2 Li 0.840 0.160 0.500  0.01
3 Li 0.160 0.840 0.500  0.01
4 Li 0.160 0.840 0.000  0.01
5 Li 0.424 0.127 0.750  0.00
6 Li 0.873 0.576 0.250  0.00
7 Li 0.576 0.873 0.250  0.00
8 Li 0.127 0.424 0.750  0.00
9 Cr 0.339 0.339 0.250  1.78
10 Cr 0.661 0.661 0.750  1.78
11 O 0.658 0.263 0.250  0.02
12 O 0.737 0.342 0.750  0.02
13 O 0.342 0.737 0.750  0.02
14 O 0.263 0.658 0.250  0.02
15 O 0.204 0.204 0.005  0.02
16 O 0.796 0.796 0.995  0.02
17 O 0.796 0.796 0.505  0.02
18 O 0.204 0.204 0.495  0.02

---

[3]
Li6CrO4 after structural relaxation. Source: the Alexandria database, functional GGA-PBEsol.

M_tot = 0.36 μB/atom
formation energy without anion corrections = -1.7024 eV/atom

Cell lengths 4.505, 6.645, 6.645 Å; angles 90.00, 90.00, 90.00 degrees
Site moments in Bohr magnetons follow the coordinates.
Sites, in units of the cell vectors:
1 Li 0.420 0.500 0.000  0.01
2 Li 0.920 0.500 0.000  0.01
3 Li 0.080 0.000 0.500  0.01
4 Li 0.580 0.000 0.500  0.01
5 Li 0.500 0.286 0.286  0.00
6 Li 0.500 0.286 0.714  0.00
7 Li 0.500 0.714 0.286  0.00
8 Li 0.500 0.714 0.714  0.00
9 Li 0.000 0.786 0.786  0.00
10 Li 0.000 0.786 0.214  0.00
11 Li 0.000 0.214 0.786  0.00
12 Li 0.000 0.214 0.214  0.00
13 Cr 0.500 0.000 0.000  3.27
14 Cr 0.000 0.500 0.500  3.27
15 O 0.682 0.270 0.000  0.04
16 O 0.182 0.500 0.770  0.04
17 O 0.182 0.500 0.230  0.04
18 O 0.682 0.730 0.000  0.04
19 O 0.818 0.770 0.500  0.04
20 O 0.318 0.000 0.730  0.04
21 O 0.318 0.000 0.270  0.04
22 O 0.818 0.230 0.500  0.04

---

[4]
Li8CrO6 after structural relaxation. Source: the Alexandria database, functional GGA-PBEsol.

M_tot = 0.13 μB/atom
DOS(E_F) = 7.667 states/eV per cell
formation energy without anion corrections = -1.9007 eV/atom
energy above the lowest structure with this stoichiometry = 35.3 kJ/mol of formula units

Cell lengths 5.302, 5.302, 5.767 Å; angles 62.63, 62.63, 60.00 degrees
Site moments in Bohr magnetons follow the coordinates.
Sites, in units of the cell vectors:
1 Cr 0.000 0.000 0.000  1.95
2 O 0.770 0.087 0.769  -0.01
3 O 0.626 0.230 0.231  -0.01
4 O 0.913 0.626 0.231  -0.01
5 O 0.087 0.374 0.769  -0.01
6 O 0.374 0.770 0.769  -0.01
7 O 0.230 0.913 0.231  -0.01
8 Li 0.660 0.660 0.020  0.00
9 Li 0.340 0.340 0.980  0.00
10 Li 0.899 0.237 0.351  0.00
11 Li 0.488 0.101 0.649  0.00
12 Li 0.763 0.488 0.649  0.00
13 Li 0.237 0.512 0.351  0.00
14 Li 0.512 0.899 0.351  0.00
15 Li 0.101 0.763 0.649  0.00